No. 1
The following is a DFT calculation (PBE) of crystalline TlAuN2F at its relaxed geometry.

POSCAR file:
```
TlAuN2F
1.0
-3.9815 1.6104 -1.0565
-1.7929 -2.2125 3.3841
0.7090 3.5007 2.6644
F Tl N Au
1 1 2 1
Direct
0.0000 0.0000 0.5000
0.0000 0.0000 0.0000
0.0000 0.5000 0.0000
0.5000 0.0000 0.0000
0.5000 0.5000 0.5000
```

Properties
space-group type: P4/mmm, No. 123
DOS(E_F): 1.6 states/eV/f.u.

***

No. 2
The following is a DFT calculation (PBE) of crystalline TlAuNF2 at its relaxed geometry.

POSCAR file:
```
TlAuNF2
1.0
-2.3831 -3.6095 1.1491
2.8052 -2.5939 -2.3304
2.4959 -0.5105 3.5727
N F Au Tl
1 2 1 1
Direct
0.0000 0.0000 0.5000
0.0000 0.5000 0.0000
0.5000 0.0000 0.0000
0.5000 0.5000 0.5000
0.0000 0.0000 0.0000
```

Properties
space-group type: P4/mmm, No. 123
DOS(E_F): 1.4 states/eV/f.u.

***

No. 3
The following is a DFT calculation (PBE) of crystalline TlAuNF2 at its relaxed geometry.

POSCAR file:
```
TlAuNF2
1.0
4.8709 0.0000 0.0000
0.0000 4.8709 0.0000
0.0000 0.0000 3.7652
F Tl Au N
2 1 1 1
Direct
0.5000 0.0000 0.0000
0.0000 0.5000 0.0000
0.5000 0.5000 0.5000
0.0000 0.0000 0.0000
0.0000 0.0000 0.5000
```

Properties
space-group type: P4/mmm, No. 123
DOS(E_F): 2.4 states/eV/f.u.

***

No. 4
The following is a DFT calculation (PBE) of crystalline TlAuN2F at its relaxed geometry.

POSCAR file:
```
TlAuN2F
1.0
3.9810 0.0000 0.0000
0.0000 3.9810 0.0000
0.0000 0.0000 6.0316
Tl N F Au
1 2 1 1
Direct
0.5000 0.5000 0.5000
0.0000 0.5000 0.0000
0.5000 0.0000 0.0000
0.0000 0.0000 0.5000
0.0000 0.0000 0.0000
```

Properties
space-group type: P4/mmm, No. 123
DOS(E_F): 1.1 states/eV/f.u.

***

| no. | formation energy without anion corrections (eV per atom) | E (eV for the cell shown) |
| --- | --- | --- |
| 1 | 1.412 | -17.1 |
| 2 | 0.165 | -16.9 |
| 3 | -0.238 | -18.9 |
| 4 | 0.846 | -19.9 |